Zn2PCl: PBEsol geometry, meta-GGA SCAN.

Output
* ΔE_f (raw): 0.121 eV/atom
* size of the total moment: 0.00 Bohr magnetons per cell
* calculated total energy: -11.231 eV/atom
* ΔE to the lowest computed polymorph: 282 kJ/mol of formula units

```
data_Zn2PCl
_chemical_formula_sum 'Zn2 P1 Cl1'
_space_group_name_H-M_alt 'P 4/m m m'
_space_group_IT_number 123
_space_group_name_Hall '-P 4 2'
_cell_length_a 4.6284
_cell_length_b 4.6284
_cell_length_c 3.0017
_cell_angle_alpha 90.00
_cell_angle_beta 90.00
_cell_angle_gamma 90.00
loop_
_atom_site_label
_atom_site_type_symbol
_atom_site_fract_x
_atom_site_fract_y
_atom_site_fract_z
Zn1 Zn 0.0000 0.5000 0.0000
P1 P 0.0000 0.0000 0.5000
Cl1 Cl 0.5000 0.5000 0.5000
```